First-principles (PBE) data for KZn3Au3 after structural relaxation, as listed in Alexandria via LeMat-Bulk.

a b c (Å): 7.222 7.222 7.222
angles (deg): 90.00 90.00 90.00
Space group Pm-3n (No. 223)
Unique sites:
K: 0.000 0.000 0.000 [2 per cell]
Zn: 0.000 0.250 0.500 [6 per cell]
Au: 0.000 0.500 0.250 [6 per cell]

ΔE to the lowest computed polymorph in meV per atom: 58
N(E_F) in states/eV/cell: 5.6

First-principles (PBE) data for PaPd9Pt4 after structural relaxation, as listed in Alexandria via LeMat-Bulk.

a b c (Å): 7.9121 7.9121 8.8057
angles (deg): 90.00 90.00 120.00
Space group P6_3/mmc (No. 194)
Unique sites:
Pa: 0.3333 0.6667 0.2500 [2 per cell]
Pd: 0.0804 0.5402 0.7500 [6 per cell]
Pd: 0.2082 0.4164 0.0270 [12 per cell]
Pt: 0.0000 0.0000 0.0000 [2 per cell]
Pt: 0.1126 0.2252 0.7500 [6 per cell]

N(E_F) in states/eV/cell: 22.2

First-principles (PBE) data for Tl2MoAu after structural relaxation, as listed in Alexandria via LeMat-Bulk.

a b c (Å): 5.196 3.099 5.609
angles (deg): 90.00 113.88 90.00
Space group P2/m (No. 10)
Unique sites:
Tl: 0.000 0.000 0.000 [1 per cell]
Tl: 0.000 0.500 0.500 [1 per cell]
Mo: 0.500 0.000 0.500 [1 per cell]
Au: 0.500 0.500 0.000 [1 per cell]

ΔE to the lowest computed polymorph in meV per atom: 106
N(E_F) in states/eV/cell: 2.6

Number 1: energy of formation from the pure elements -0.084 eV/atom. Number 2: energy of formation from the pure elements -0.181 eV/atom. Number 3: energy of formation from the pure elements 0.548 eV/atom.